Entry from the Alexandria database: a relaxed CdTc2P crystal (PBE).

DOS(E_F) in states/eV/atom: 1.034
Polymorph energy (0 for the lowest one) in meV/atom: 576.2
DFT formation energy in eV per atom: 0.507
Mass density in g/cm³: 9.21
Total energy in eV/cell: -50.1

```
data_CdTc2P
_chemical_formula_sum 'Cd2 Tc4 P2'
_space_group_name_H-M_alt 'I -4 m 2'
_space_group_IT_number 119
_space_group_name_Hall 'I -4 -2'
_cell_length_a 3.917
_cell_length_b 3.917
_cell_length_c 7.977
_cell_angle_alpha 90.00
_cell_angle_beta 90.00
_cell_angle_gamma 90.00
loop_
_atom_site_label
_atom_site_type_symbol
_atom_site_fract_x
_atom_site_fract_y
_atom_site_fract_z
_atom_site_occupancy
Cd1 Cd 0.000 0.000 0.000 1
Tc1 Tc 0.000 0.000 0.500 1
Tc2 Tc 0.000 0.500 0.250 1
P1 P 0.000 0.500 0.750 1
```


Entry from the Alexandria database: a relaxed CdTc2P crystal (PBE).

DOS(E_F) in states/eV/atom: 1.117
Polymorph energy (0 for the lowest one) in meV/atom: 681.1
DFT formation energy in eV per atom: 0.612
Mass density in g/cm³: 8.95
Total energy in eV/cell: -24.6

```
data_CdTc2P
_chemical_formula_sum 'Cd1 Tc2 P1'
_space_group_name_H-M_alt 'P m m m'
_space_group_IT_number 47
_cell_length_a 3.054
_cell_length_b 4.373
_cell_length_c 4.715
_cell_angle_alpha 90.00
_cell_angle_beta 90.00
_cell_angle_gamma 90.00
loop_
_space_group_symop_operation_xyz
'x,y,z'
'-x,-y,-z'
'-x,-y,z'
'x,y,-z'
'x,-y,-z'
'-x,y,z'
'-x,y,-z'
'x,-y,z'
loop_
_atom_site_label
_atom_site_type_symbol
_atom_site_fract_x
_atom_site_fract_y
_atom_site_fract_z
_atom_site_occupancy
Cd1 Cd 0.000 0.000 0.000 1
Tc1 Tc 0.000 0.500 0.500 1
Tc2 Tc 0.500 0.500 0.000 1
P1 P 0.500 0.000 0.500 1
```


Entry from the Alexandria database: a relaxed CdTc2P2 crystal (PBE).

DOS(E_F) in states/eV/atom: 0.880
Polymorph energy (0 for the lowest one) in meV/atom: 119.7
DFT formation energy in eV per atom: -0.051
Mass density in g/cm³: 8.38
Total energy in eV/cell: -65.4

```
data_CdTc2P2
_chemical_formula_sum 'Cd2 Tc4 P4'
_space_group_name_H-M_alt 'P 4/m b m'
_space_group_IT_number 127
_space_group_name_Hall '-P 4 2ab'
_cell_length_a 7.077
_cell_length_b 7.077
_cell_length_c 2.931
_cell_angle_alpha 90.00
_cell_angle_beta 90.00
_cell_angle_gamma 90.00
loop_
_atom_site_label
_atom_site_type_symbol
_atom_site_fract_x
_atom_site_fract_y
_atom_site_fract_z
_atom_site_occupancy
Cd1 Cd 0.000 0.000 0.000 1
Tc1 Tc 0.149 0.351 0.500 1
P1 P 0.138 0.638 0.000 1
```